Material: Rh2PbBr
Method: DFT, PBE
State: relaxed

E: -4.71 eV per atom
uncorrected formation energy: 0.307 eV/atom
polymorph energy (0 for the lowest one): 132 meV/atom

Unit cell a=8.251 b=3.341 c=5.988 alpha=90.00 beta=105.36 gamma=90.00
Space group C2/m (No. 12)
Unique sites:
Rh  0.249  0.000  0.275 x4
Pb  0.000  0.000  0.500 x2
Br  0.000  0.500  0.000 x2

Material: Rh2PbBr
Method: DFT, PBE
State: relaxed

E: -4.72 eV per atom
uncorrected formation energy: 0.305 eV/atom
polymorph energy (0 for the lowest one): 130 meV/atom

Unit cell a=10.197 b=3.365 c=4.522 alpha=90.00 beta=97.97 gamma=90.00
Space group Cm (No. 8)
Unique sites:
Rh  0.000  0.000  0.000 x2
Rh  0.239  0.500  0.303 x2
Pb  0.268  0.000  0.824 x2
Br  0.011  0.500  0.441 x2

Material: Rh3PbBr
Method: DFT, PBE
State: relaxed

E: -4.72 eV per atom
uncorrected formation energy: 0.769 eV/atom
polymorph energy (0 for the lowest one): 0 meV/atom

Unit cell a=4.694 b=4.694 c=4.694 alpha=90.00 beta=90.00 gamma=90.00
Space group Pm-3m (No. 221)
Unique sites:
Rh  0.000  0.000  0.500 x3
Pb  0.500  0.500  0.500 x1
Br  0.000  0.000  0.000 x1

Material: Rh2PbBr2
Method: DFT, PBE
State: relaxed

E: -4.27 eV per atom
uncorrected formation energy: 0.082 eV/atom
polymorph energy (0 for the lowest one): 0 meV/atom

Unit cell a=6.998 b=6.998 c=4.873 alpha=90.00 beta=90.00 gamma=90.00
Space group P4/mbm (No. 127)
Unique sites:
Rh  0.128  0.372  0.000 x4
Pb  0.000  0.000  0.000 x2
Br  0.187  0.313  0.500 x4

Material: Rh2PbBr2
Method: DFT, PBE
State: relaxed

E: -3.93 eV per atom
uncorrected formation energy: 0.424 eV/atom
polymorph energy (0 for the lowest one): 343 meV/atom

Unit cell a=4.491 b=4.491 c=10.909 alpha=90.00 beta=90.00 gamma=90.00
Space group I4/mmm (No. 139)
Unique sites:
Rh  0.000  0.000  0.116 x4
Pb  0.000  0.000  0.500 x2
Br  0.000  0.500  0.250 x4

Material: RhPbBr2
Method: DFT, PBE
State: relaxed

E: -3.78 eV per atom
uncorrected formation energy: -0.180 eV/atom
polymorph energy (0 for the lowest one): 70 meV/atom

Unit cell a=12.469 b=3.716 c=5.562 alpha=90.00 beta=91.04 gamma=90.00
Space group Cm (No. 8)
Unique sites:
Rh  0.000  0.000  0.000 x2
Pb  0.146  0.500  0.818 x2
Br  0.142  0.000  0.320 x2
Br  0.392  0.000  0.809 x2

Material: RhPbBr2
Method: DFT, PBE
State: relaxed

E: -3.43 eV per atom
uncorrected formation energy: 0.173 eV/atom
polymorph energy (0 for the lowest one): 423 meV/atom

Unit cell a=6.523 b=8.278 c=5.113 alpha=90.00 beta=129.25 gamma=90.00
Space group C2/m (No. 12)
Unique sites:
Rh  0.000  0.000  0.000 x2
Pb  0.000  0.500  0.000 x2
Br  0.250  0.250  0.500 x4

Material: Rh2PbBr
Method: DFT, PBE
State: relaxed

E: -4.70 eV per atom
uncorrected formation energy: 0.320 eV/atom
polymorph energy (0 for the lowest one): 146 meV/atom

Unit cell a=3.348 b=3.348 c=6.829 alpha=90.00 beta=90.00 gamma=90.00
Space group P4/mmm (No. 123)
Unique sites:
Rh  0.000  0.000  0.222 x2
Pb  0.500  0.500  0.000 x1
Br  0.500  0.500  0.500 x1

Material: RhPbBr2
Method: DFT, PBE
State: relaxed

E: -3.39 eV per atom
uncorrected formation energy: 0.215 eV/atom
polymorph energy (0 for the lowest one): 465 meV/atom

Unit cell a=4.974 b=4.974 c=3.870 alpha=90.00 beta=90.00 gamma=90.00
Space group P4/mmm (No. 123)
Unique sites:
Rh  0.000  0.000  0.000 x1
Pb  0.500  0.500  0.000 x1
Br  0.000  0.500  0.500 x2

Material: Rh2PbBr
Method: DFT, PBE
State: relaxed

E: -4.82 eV per atom
uncorrected formation energy: 0.198 eV/atom
polymorph energy (0 for the lowest one): 23 meV/atom

Unit cell a=3.609 b=3.609 c=5.995 alpha=90.00 beta=90.00 gamma=90.00
Space group P4mm (No. 99)
Unique sites:
Rh  0.000  0.000  0.000 x1
Rh  0.500  0.500  0.286 x1
Pb  0.500  0.500  0.809 x1
Br  0.000  0.000  0.402 x1

Material: Rh2PbBr
Method: DFT, PBE
State: relaxed

E: -4.45 eV per atom
uncorrected formation energy: 0.573 eV/atom
polymorph energy (0 for the lowest one): 399 meV/atom

Unit cell a=6.778 b=6.778 c=6.778 alpha=90.00 beta=90.00 gamma=90.00
Space group F-43m (No. 216)
Unique sites:
Rh  0.000  0.000  0.000 x4
Rh  0.250  0.250  0.250 x4
Pb  0.250  0.250  0.750 x4
Br  0.000  0.000  0.500 x4

Material: Rh2PbBr
Method: DFT, PBE
State: relaxed

E: -4.62 eV per atom
uncorrected formation energy: 0.400 eV/atom
polymorph energy (0 for the lowest one): 225 meV/atom

Unit cell a=3.871 b=3.871 c=10.153 alpha=90.00 beta=90.00 gamma=90.00
Space group I-4m2 (No. 119)
Unique sites:
Rh  0.000  0.000  0.000 x2
Rh  0.000  0.500  0.250 x2
Pb  0.000  0.000  0.500 x2
Br  0.000  0.500  0.750 x2

Material: Rh2PbBr
Method: DFT, PBE
State: relaxed

E: -4.83 eV per atom
uncorrected formation energy: 0.187 eV/atom
polymorph energy (0 for the lowest one): 12 meV/atom

Unit cell a=3.673 b=3.840 c=6.696 alpha=90.00 beta=97.45 gamma=90.00
Space group Pm (No. 6)
Unique sites:
Rh  0.000  0.000  0.000 x1
Rh  0.439  0.500  0.929 x1
Pb  0.491  0.000  0.649 x1
Br  0.866  0.500  0.251 x1

Material: RhPbSe2Br
Method: DFT, PBE
State: relaxed

E: -4.02 eV per atom
uncorrected formation energy: -0.079 eV/atom
polymorph energy (0 for the lowest one): 0 meV/atom

Unit cell a=4.981 b=4.981 c=5.046 alpha=90.00 beta=90.00 gamma=90.00
Space group P4/mmm (No. 123)
Unique sites:
Rh  0.000  0.000  0.000 x1
Pb  0.500  0.500  0.500 x1
Se  0.000  0.500  0.000 x2
Br  0.000  0.000  0.500 x1

Material: RhPbSeBr2
Method: DFT, PBE
State: relaxed

E: -3.75 eV per atom
uncorrected formation energy: -0.174 eV/atom
polymorph energy (0 for the lowest one): 0 meV/atom

Unit cell a=5.032 b=5.032 c=5.084 alpha=90.00 beta=90.00 gamma=90.00
Space group P4/mmm (No. 123)
Unique sites:
Rh  0.000  0.000  0.000 x1
Pb  0.500  0.500  0.500 x1
Se  0.000  0.000  0.500 x1
Br  0.000  0.500  0.000 x2

Material: SnRhPb2Br
Method: DFT, PBE
State: relaxed

E: -3.91 eV per atom
uncorrected formation energy: 0.182 eV/atom

Unit cell a=5.365 b=5.365 c=5.080 alpha=90.00 beta=90.00 gamma=90.00
Space group P4/mmm (No. 123)
Unique sites:
Sn  0.000  0.000  0.000 x1
Rh  0.500  0.500  0.500 x1
Pb  0.000  0.500  0.500 x2
Br  0.500  0.500  0.000 x1

Material: Tl2RhPbBr
Method: DFT, PBE
State: relaxed

E: -3.81 eV per atom
uncorrected formation energy: -0.316 eV/atom

Unit cell a=5.345 b=5.345 c=5.262 alpha=90.00 beta=90.00 gamma=90.00
Space group P4/mmm (No. 123)
Unique sites:
Tl  0.000  0.500  0.000 x2
Rh  0.000  0.000  0.000 x1
Pb  0.000  0.000  0.500 x1
Br  0.500  0.500  0.500 x1

Material: TlRhPb2Br
Method: DFT, PBE
State: relaxed

E: -3.99 eV per atom
uncorrected formation energy: -0.224 eV/atom

Unit cell a=5.308 b=5.308 c=5.398 alpha=90.00 beta=90.00 gamma=90.00
Space group P4/mmm (No. 123)
Unique sites:
Tl  0.000  0.000  0.000 x1
Rh  0.000  0.000  0.500 x1
Pb  0.000  0.500  0.500 x2
Br  0.500  0.500  0.000 x1

Material: YRh2PbBr
Method: DFT, PBE
State: relaxed

E: -4.82 eV per atom
uncorrected formation energy: 0.486 eV/atom

Unit cell a=5.000 b=5.000 c=5.564 alpha=90.00 beta=90.00 gamma=90.00
Space group P4/mmm (No. 123)
Unique sites:
Y  0.000  0.000  0.000 x1
Rh  0.000  0.500  0.500 x2
Pb  0.500  0.500  0.500 x1
Br  0.500  0.500  0.000 x1

Material: Ru2PbBr
Method: DFT, PBE
State: relaxed

E: -5.60 eV per atom
uncorrected formation energy: 0.383 eV/atom
polymorph energy (0 for the lowest one): 70 meV/atom

Unit cell a=3.031 b=3.031 c=9.081 alpha=90.00 beta=90.00 gamma=90.00
Space group P4mm (No. 99)
Unique sites:
Ru  0.000  0.000  0.000 x1
Ru  0.500  0.500  0.169 x1
Pb  0.500  0.500  0.759 x1
Br  0.000  0.000  0.369 x1

Material: Ru2PbBr
Method: DFT, PBE
State: relaxed

E: -5.04 eV per atom
uncorrected formation energy: 0.939 eV/atom
polymorph energy (0 for the lowest one): 625 meV/atom

Unit cell a=6.057 b=9.100 c=3.222 alpha=90.00 beta=121.27 gamma=90.00
Space group C2/m (No. 12)
Unique sites:
Ru  0.250  0.250  0.000 x4
Pb  0.000  0.000  0.500 x2
Br  0.000  0.500  0.500 x2

Material: Ru2PbBr
Method: DFT, PBE
State: relaxed

E: -5.08 eV per atom
uncorrected formation energy: 0.907 eV/atom
polymorph energy (0 for the lowest one): 593 meV/atom

Unit cell a=6.613 b=6.613 c=6.613 alpha=90.00 beta=90.00 gamma=90.00
Space group Fm-3m (No. 225)
Unique sites:
Ru  0.250  0.250  0.250 x8
Pb  0.000  0.000  0.000 x4
Br  0.000  0.000  0.500 x4

Material: Ru2PbBr
Method: DFT, PBE
State: relaxed

E: -5.07 eV per atom
uncorrected formation energy: 0.908 eV/atom
polymorph energy (0 for the lowest one): 595 meV/atom

Unit cell a=3.150 b=5.605 c=8.689 alpha=90.00 beta=90.00 gamma=90.00
Space group Cmmm (No. 65)
Unique sites:
Ru  0.000  0.000  0.246 x4
Pb  0.000  0.500  0.500 x2
Br  0.000  0.500  0.000 x2

Material: Ru2PbBr
Method: DFT, PBE
State: relaxed

E: -5.13 eV per atom
uncorrected formation energy: 0.855 eV/atom
polymorph energy (0 for the lowest one): 541 meV/atom

Unit cell a=3.165 b=4.417 c=5.480 alpha=90.00 beta=93.84 gamma=90.00
Space group P2/m (No. 10)
Unique sites:
Ru  0.210  0.000  0.300 x2
Pb  0.500  0.500  0.000 x1
Br  0.000  0.500  0.500 x1

Material: Ru2PbBr
Method: DFT, PBE
State: relaxed

E: -4.92 eV per atom
uncorrected formation energy: 1.062 eV/atom
polymorph energy (0 for the lowest one): 748 meV/atom

Unit cell a=6.769 b=6.769 c=6.769 alpha=90.00 beta=90.00 gamma=90.00
Space group F-43m (No. 216)
Unique sites:
Ru  0.000  0.000  0.000 x4
Ru  0.250  0.250  0.250 x4
Pb  0.250  0.250  0.750 x4
Br  0.000  0.000  0.500 x4

Material: Ru2PbBr
Method: DFT, PBE
State: relaxed

E: -5.21 eV per atom
uncorrected formation energy: 0.769 eV/atom
polymorph energy (0 for the lowest one): 455 meV/atom

Unit cell a=4.551 b=4.551 c=16.438 alpha=90.00 beta=90.00 gamma=90.00
Space group I-42d (No. 122)
Unique sites:
Ru  0.155  0.250  0.125 x8
Pb  0.000  0.000  0.500 x4
Br  0.000  0.000  0.000 x4

Material: Ru2PbBr
Method: DFT, PBE
State: relaxed

E: -5.25 eV per atom
uncorrected formation energy: 0.738 eV/atom
polymorph energy (0 for the lowest one): 424 meV/atom

Unit cell a=3.2061 b=3.2061 c=24.6608 alpha=90.00 beta=90.00 gamma=120.00
Space group R-3m (No. 166, hexagonal axes)
Unique sites:
Ru  0.0000  0.0000  0.2475 x6
Pb  0.0000  0.0000  0.0000 x3
Br  0.0000  0.0000  0.5000 x3

Material: Ru2PbBr
Method: DFT, PBE
State: relaxed

E: -5.17 eV per atom
uncorrected formation energy: 0.818 eV/atom
polymorph energy (0 for the lowest one): 504 meV/atom

Unit cell a=3.283 b=3.283 c=6.678 alpha=90.00 beta=90.00 gamma=90.00
Space group P4/mmm (No. 123)
Unique sites:
Ru  0.000  0.000  0.246 x2
Pb  0.500  0.500  0.000 x1
Br  0.500  0.500  0.500 x1

Material: Ru2PbBr
Method: DFT, PBE
State: relaxed

E: -5.25 eV per atom
uncorrected formation energy: 0.733 eV/atom
polymorph energy (0 for the lowest one): 419 meV/atom

Unit cell a=10.395 b=3.136 c=4.674 alpha=90.00 beta=97.61 gamma=90.00
Space group Cm (No. 8)
Unique sites:
Ru  0.000  0.000  0.000 x2
Ru  0.215  0.500  0.236 x2
Pb  0.264  0.000  0.770 x2
Br  0.003  0.500  0.425 x2

Material: Ru2PbBr
Method: DFT, PBE
State: relaxed

E: -5.13 eV per atom
uncorrected formation energy: 0.851 eV/atom
polymorph energy (0 for the lowest one): 537 meV/atom

Unit cell a=3.090 b=4.469 c=5.451 alpha=90.00 beta=90.00 gamma=90.00
Space group Pmmm (No. 47)
Unique sites:
Ru  0.000  0.000  0.000 x1
Ru  0.500  0.000  0.500 x1
Pb  0.000  0.500  0.500 x1
Br  0.500  0.500  0.000 x1

Number 1: calculated volume 19.9 A^3/atom, magnetization 0.00 μB per formula unit. Number 2: calculated volume 19.2 A^3/atom, magnetization 0.00 μB per formula unit. Number 3: calculated volume 20.7 A^3/atom, magnetization 1.07 μB per formula unit. Number 4: calculated volume 23.9 A^3/atom, magnetization 0.00 μB per formula unit. Number 5: calculated volume 22.0 A^3/atom, magnetization 0.00 μB per formula unit. Number 6: calculated volume 32.2 A^3/atom, magnetization 0.30 μB per formula unit. Number 7: calculated volume 26.7 A^3/atom, magnetization 0.00 μB per formula unit. Number 8: calculated volume 19.1 A^3/atom, magnetization 0.46 μB per formula unit. Number 9: calculated volume 23.9 A^3/atom, magnetization 1.10 μB per formula unit. Number 10: calculated volume 19.5 A^3/atom, magnetization 0.00 μB per formula unit. Number 11: calculated volume 19.5 A^3/atom, magnetization 0.56 μB per formula unit. Number 12: calculated volume 19.0 A^3/atom, magnetization 0.00 μB per formula unit. Number 13: calculated volume 23.4 A^3/atom, magnetization 0.00 μB per formula unit. Number 14: calculated volume 25.0 A^3/atom, magnetization 0.00 μB per formula unit. Number 15: calculated volume 25.8 A^3/atom, magnetization 0.00 μB per formula unit. Number 16: calculated volume 29.2 A^3/atom, magnetization 0.00 μB per formula unit. Number 17: calculated volume 30.1 A^3/atom, magnetization 0.00 μB per formula unit. Number 18: calculated volume 30.4 A^3/atom, magnetization 0.00 μB per formula unit. Number 19: calculated volume 27.8 A^3/atom, magnetization 0.00 μB per formula unit. Number 20: calculated volume 20.9 A^3/atom, magnetization 0.00 μB per formula unit. Number 21: calculated volume 19.0 A^3/atom, magnetization 0.00 μB per formula unit. Number 22: calculated volume 18.1 A^3/atom, magnetization 0.00 μB per formula unit. Number 23: calculated volume 19.2 A^3/atom, magnetization 0.03 μB per formula unit. Number 24: calculated volume 19.1 A^3/atom, magnetization 0.00 μB per formula unit. Number 25: calculated volume 19.4 A^3/atom, magnetization 2.57 μB per formula unit. Number 26: calculated volume 21.3 A^3/atom, magnetization 0.00 μB per formula unit. Number 27: calculated volume 18.3 A^3/atom, magnetization 0.00 μB per formula unit. Number 28: calculated volume 18.0 A^3/atom, magnetization 0.00 μB per formula unit. Number 29: calculated volume 18.9 A^3/atom, magnetization 0.00 μB per formula unit. Number 30: calculated volume 18.8 A^3/atom, magnetization 0.00 μB per formula unit.